Record 1
Crystalline NaPbO2 at its relaxed geometry, computed with GGA-PBE.

```
NaPbO2
1.0
-1.900 2.444 -2.215
1.030 -3.400 -1.365
-5.114 -2.295 1.855
Pb Na O
1 1 2
Cartesian
-2.174 -2.452 -0.840
-4.707 -2.112 1.708
-3.970 -3.258 -0.189
-2.520 -0.221 -1.352
```

D(E_F) (states/eV per atom): 0.3775
Energy relative to the elements, uncorrected (eV per atom): -1.03
Total energy (eV/atom): -4.76
Crystal system: trigonal

=====

Record 2
Crystalline Na2PbO at its relaxed geometry, computed with GGA-PBE.

```
Na2PbO
1.0
8.049 0.000 0.000
0.000 8.049 0.000
4.025 4.025 2.652
Pb Na O
2 4 2
Cartesian
0.000 0.000 0.000
8.049 4.025 1.326
5.018 2.012 0.663
3.031 6.037 0.663
6.037 7.056 1.989
10.062 9.043 1.989
4.025 4.025 0.000
4.025 8.049 1.326
```

D(E_F) (states/eV per atom): 0.1586
Energy relative to the elements, uncorrected (eV per atom): -0.57
Total energy (eV/atom): -3.40
Crystal system: tetragonal
Energy above the lowest structure with this stoichiometry (meV per atom): 0

=====

Record 3
Crystalline NaPbO2 at its relaxed geometry, computed with GGA-PBE.

```
NaPbO2
1.0
12.507 0.000 0.255
1.789 4.824 -4.457
-1.789 4.824 4.457
Pb Na O
8 8 16
Cartesian
5.047 2.737 -0.828
1.206 7.560 0.955
7.460 6.911 1.083
11.301 2.087 -0.700
6.146 4.511 -3.604
1.897 4.511 -0.726
6.361 5.137 3.859
10.610 5.137 0.981
1.548 1.389 0.594
4.706 6.213 -0.466
10.960 8.258 -0.339
7.801 3.435 0.722
3.890 4.329 2.176
0.574 4.329 2.409
8.617 5.318 -1.921
11.933 5.318 -2.154
12.371 6.404 -0.020
6.390 1.581 0.402
0.136 3.243 0.275
6.117 8.067 -0.147
9.603 1.850 0.579
9.157 6.673 -0.196
2.904 7.798 -0.324
3.350 2.974 0.451
6.734 3.982 -1.414
1.309 3.982 -2.916
5.773 5.666 1.669
11.198 5.666 3.171
8.486 5.338 2.420
4.021 4.309 -2.165
10.275 3.531 -2.037
2.232 6.116 2.292
```

D(E_F) (states/eV per atom): 0.0000
Energy relative to the elements, uncorrected (eV per atom): -1.11
Total energy (eV/atom): -4.84
Crystal system: monoclinic